First-principles (PBE) data for crystalline ZrMnTl2 at its relaxed geometry, as listed in Alexandria.

The space group is P4/mmm (No. 123) and the conventional cell measures 3.235, 3.235 and 8.110 Å, with angles of 90.00, 90.00 and 90.00 degrees. The inequivalent atoms are Zr at (0.000, 0.000, 0.000), Mn at (0.000, 0.000, 0.500) and Tl at (0.500, 0.500, 0.269).

Its total energy is -5.38 eV per atom. The polymorph energy (0 for the lowest one) is 0.0501 eV per atom. As for the calculated volume: 21.21 Å³/atom. As for the formation energy: 0.2296 eV/atom.